## Ce5GaRh2 (PBE)

Data for a relaxed Ce5GaRh2 crystal.

a b c (Å): 4.5141 5.7937 15.8340
angles (deg): 90.00 90.00 112.93
Sites, in units of the cell vectors:
Ce (0.9241, 0.8483, 0.8913)
Ce (0.9241, 0.8483, 0.6087)
Ce (0.4068, 0.8137, 0.4255)
Ce (0.4068, 0.8137, 0.0745)
Ce (0.7824, 0.5649, 0.2500)
Ce (0.2176, 0.4351, 0.7500)
Ce (0.5932, 0.1863, 0.5745)
Ce (0.5932, 0.1863, 0.9255)
Ce (0.0759, 0.1517, 0.1087)
Ce (0.0759, 0.1517, 0.3913)
Ga (0.5071, 0.0142, 0.7500)
Ga (0.4929, 0.9858, 0.2500)
Rh (0.7461, 0.4923, 0.4251)
Rh (0.7461, 0.4923, 0.0749)
Rh (0.2539, 0.5077, 0.5749)
Rh (0.2539, 0.5077, 0.9251)

Calculated volume in Å³ per atom: 23.84
Final energy in eV/atom: -6.411
D(E_F) in states/eV/f.u.: 17.7